Ba2HgSe after structural relaxation. Source: the Alexandria database, functional GGA-PBEsol.

Values from the calculation:
formation energy without anion corrections = -1.14 eV/atom
mass density = 7.05 Mg/m³
energy relative to the lowest polymorph listed for this composition = 0 kJ/mol of formula units
DOS(E_F) = 0.60 states/eV per atom

Unit cell a=4.0666 b=4.0666 c=7.8883 alpha=90.00 beta=90.00 gamma=90.00
Space group P4/mmm (No. 123)
Symmetry-distinct sites (fractional):
Ba 0.0000 0.0000 0.2343
Hg 0.5000 0.5000 0.5000
Se 0.5000 0.5000 0.0000

***

HAuO2 after structural relaxation. Source: the Alexandria database, functional GGA-PBEsol.

Values from the calculation:
mass density = 7.68 Mg/m³
energy relative to the lowest polymorph listed for this composition = 15 kJ/mol of formula units

Unit cell a=7.3476 b=3.0521 c=4.4699 alpha=90.00 beta=97.25 gamma=90.00
Space group C2/m (No. 12)
Symmetry-distinct sites (fractional):
H 0.0000 0.0000 0.0000
Au 0.0000 0.5000 0.5000
O 0.0774 0.0000 0.2551

***

NbGeO3 after structural relaxation. Source: the Alexandria database, functional GGA-PBEsol.

Values from the calculation:
formation energy without anion corrections = -1.63 eV/atom
mass density = 5.52 Mg/m³
DOS(E_F) = 0.47 states/eV per atom

Unit cell a=4.0045 b=4.0045 c=4.0045 alpha=90.00 beta=90.00 gamma=90.00
Space group Pm-3m (No. 221)
Symmetry-distinct sites (fractional):
Nb 0.0000 0.0000 0.0000
Ge 0.5000 0.5000 0.5000
O 0.0000 0.0000 0.5000

***

Li2HfCrP after structural relaxation. Source: the Alexandria database, functional GGA-PBEsol.

Values from the calculation:
ΔH_f (0 K) = 1.58 eV/atom
mass density = 4.41 Mg/m³
DOS(E_F) = 0.85 states/eV per atom

Unit cell a=4.8660 b=4.8660 c=4.3792 alpha=90.00 beta=90.00 gamma=90.00
Space group P4/mmm (No. 123)
Symmetry-distinct sites (fractional):
Li 0.0000 0.5000 0.0000
Hf 0.0000 0.0000 0.0000
Cr 0.0000 0.0000 0.5000
P 0.5000 0.5000 0.5000

***

Be2Al2Rh after structural relaxation. Source: the Alexandria database, functional GGA-PBEsol.

Values from the calculation:
ΔH_f (0 K) = 0.24 eV/atom
mass density = 4.63 Mg/m³
DOS(E_F) = 0.47 states/eV per atom

Unit cell a=3.4935 b=3.4935 c=10.2885 alpha=90.00 beta=90.00 gamma=90.00
Space group I4/mmm (No. 139)
Symmetry-distinct sites (fractional):
Be 0.0000 0.0000 0.0943
Al 0.0000 0.5000 0.2500
Rh 0.0000 0.0000 0.5000

***

Zr3N4 after structural relaxation. Source: the Alexandria database, functional GGA-PBEsol.

Values from the calculation:
formation energy without anion corrections = -1.66 eV/atom
mass density = 5.84 Mg/m³
energy relative to the lowest polymorph listed for this composition = 47 kJ/mol of formula units

Unit cell a=9.0864 b=9.0864 c=9.0864 alpha=90.00 beta=90.00 gamma=90.00
Space group Fd-3m (No. 227, origin choice 2)
Symmetry-distinct sites (fractional):
Zr 0.0000 0.0000 0.0000
Zr 0.1250 0.1250 0.6250
N 0.0079 0.0079 0.2421

***

KP2Pt after structural relaxation. Source: the Alexandria database, functional GGA-PBEsol.

Values from the calculation:
ΔH_f (0 K) = 0.10 eV/atom
mass density = 6.24 Mg/m³
energy relative to the lowest polymorph listed for this composition = 0 kJ/mol of formula units
DOS(E_F) = 0.72 states/eV per atom

Unit cell a=3.3027 b=3.3027 c=7.2212 alpha=90.00 beta=90.00 gamma=90.00
Space group P4mm (No. 99)
Symmetry-distinct sites (fractional):
K 0.0000 0.0000 0.0000
P 0.0000 0.0000 0.5170
P 0.5000 0.5000 0.3075
Pt 0.5000 0.5000 0.6330

***

Be2Si2Ge after structural relaxation. Source: the Alexandria database, functional GGA-PBEsol.

Values from the calculation:
formation energy without anion corrections = 0.36 eV/atom
mass density = 3.77 Mg/m³
DOS(E_F) = 0.41 states/eV per atom

Unit cell a=7.2068 b=7.2068 c=2.4930 alpha=90.00 beta=90.00 gamma=90.00
Space group P4/mbm (No. 127)
Symmetry-distinct sites (fractional):
Be 0.1593 0.3407 0.0000
Si 0.1354 0.6354 0.5000
Ge 0.0000 0.0000 0.5000

***

Copy entry 2 word for word.
HAuO2 after structural relaxation. Source: the Alexandria database, functional GGA-PBEsol.

Values from the calculation:
mass density = 7.68 Mg/m³
energy relative to the lowest polymorph listed for this composition = 15 kJ/mol of formula units

Unit cell a=7.3476 b=3.0521 c=4.4699 alpha=90.00 beta=97.25 gamma=90.00
Space group C2/m (No. 12)
Symmetry-distinct sites (fractional):
H 0.0000 0.0000 0.0000
Au 0.0000 0.5000 0.5000
O 0.0774 0.0000 0.2551